Crystalline Sb2SeBr at its relaxed geometry, computed with GGA-PBE.

Cell lengths 14.879, 3.942, 4.607 Å; angles 90.00, 101.46, 90.00 degrees
Space group Cm (No. 8)
Inequivalent atoms, fractional coordinates:
Sb 0.000 0.000 0.000 (multiplicity 2)
Sb 0.152 0.500 0.273 (multiplicity 2)
Se 0.006 0.500 0.517 (multiplicity 2)
Br 0.250 0.000 0.713 (multiplicity 2)

E_form (uncorrected)	-0.139	eV per atom
energy above the most stable polymorph in this dataset	0.00	kcal/mol of atoms